A crystal of Y2InGeSe relaxed with PBEsol. Source: Alexandria via LeMat-Bulk, functional meta-GGA SCAN.

Calculated values
Volume   144 Å³/cell
Final energy   -25.9628 eV/atom
Symmetry   P4/mmm
Raw formation energy   -30 kJ per mole of atoms

a b c (Å): 5.435 5.435 4.879
angles (deg): 90.00 90.00 90.00
Element x y z (fractional)
Y (0.000, 0.500, 0.000)
Y (0.500, 0.000, 0.000)
In (0.000, 0.000, 0.500)
Ge (0.000, 0.000, 0.000)
Se (0.500, 0.500, 0.500)

A crystal of InSi2Ge2 relaxed with PBEsol. Source: Alexandria via LeMat-Bulk, functional meta-GGA SCAN.

Calculated values
Volume   194 Å³/cell
Final energy   -17.8824 eV/atom
Symmetry   I4/mmm
Raw formation energy   42 kJ per mole of atoms

a b c (Å): 3.726 3.726 13.969
angles (deg): 90.00 90.00 90.00
Element x y z (fractional)
In (0.000, 0.000, 0.000)
In (0.500, 0.500, 0.500)
Si (0.000, 0.500, 0.250)
Si (0.000, 0.500, 0.750)
Si (0.500, 0.000, 0.250)
Si (0.500, 0.000, 0.750)
Ge (0.000, 0.000, 0.383)
Ge (0.000, 0.000, 0.617)
Ge (0.500, 0.500, 0.117)
Ge (0.500, 0.500, 0.883)

A crystal of In3SiGe relaxed with PBEsol. Source: Alexandria via LeMat-Bulk, functional meta-GGA SCAN.

Calculated values
Volume   132 Å³/cell
Final energy   -25.1966 eV/atom
Symmetry   Pm-3m
Raw formation energy   63 kJ per mole of atoms

a b c (Å): 5.098 5.098 5.098
angles (deg): 90.00 90.00 90.00
Element x y z (fractional)
In (0.000, 0.000, 0.500)
In (0.000, 0.500, 0.000)
In (0.500, 0.000, 0.000)
Si (0.000, 0.000, 0.000)
Ge (0.500, 0.500, 0.500)

A crystal of SrIn2Ge2 relaxed with PBEsol. Source: Alexandria via LeMat-Bulk, functional meta-GGA SCAN.

Calculated values
Volume   255 Å³/cell
E_form   -0.300 eV per atom
Final energy   -25.7448 eV/atom
Symmetry   I4/mmm

a b c (Å): 4.946 4.946 10.437
angles (deg): 90.00 90.00 90.00
Element x y z (fractional)
Sr (0.000, 0.000, 0.000)
Sr (0.500, 0.500, 0.500)
In (0.000, 0.000, 0.368)
In (0.000, 0.000, 0.632)
In (0.500, 0.500, 0.132)
In (0.500, 0.500, 0.868)
Ge (0.000, 0.500, 0.250)
Ge (0.000, 0.500, 0.750)
Ge (0.500, 0.000, 0.250)
Ge (0.500, 0.000, 0.750)

A crystal of TaTlInGe2 relaxed with PBEsol. Source: Alexandria via LeMat-Bulk, functional meta-GGA SCAN.

Calculated values
Volume   135 Å³/cell
E_form   0.427 eV per atom
Final energy   -41.6741 eV/atom
Symmetry   P4/mmm

a b c (Å): 4.998 4.998 5.416
angles (deg): 90.00 90.00 90.00
Element x y z (fractional)
Ta (0.000, 0.000, 0.000)
Tl (0.000, 0.000, 0.500)
In (0.500, 0.500, 0.500)
Ge (0.000, 0.500, 0.000)
Ge (0.500, 0.000, 0.000)

A crystal of Tb11In6Ge4 relaxed with PBEsol. Source: Alexandria via LeMat-Bulk, functional meta-GGA SCAN.

Calculated values
Volume   1044 Å³/cell
E_form   -0.788 eV per atom
Final energy   -38.4572 eV/atom
Symmetry   I4/mmm

a b c (Å): 11.378 11.378 11.378
angles (deg): 119.84 119.84 90.28
Element x y z (fractional)
Tb (0.064, 0.314, 0.750)
Tb (0.100, 0.446, 0.345)
Tb (0.100, 0.755, 0.655)
Tb (0.166, 0.166, 0.000)
Tb (0.245, 0.900, 0.345)
Tb (0.314, 0.064, 0.750)
Tb (0.314, 0.564, 0.250)
Tb (0.332, 0.332, 0.664)
Tb (0.332, 0.668, 0.000)
Tb (0.436, 0.686, 0.750)
Tb (0.446, 0.100, 0.345)
Tb (0.554, 0.900, 0.655)
Tb (0.564, 0.314, 0.250)
Tb (0.668, 0.332, 0.000)
Tb (0.668, 0.668, 0.336)
Tb (0.686, 0.436, 0.750)
Tb (0.686, 0.936, 0.250)
Tb (0.755, 0.100, 0.655)
Tb (0.834, 0.834, 0.000)
Tb (0.900, 0.245, 0.345)
Tb (0.900, 0.554, 0.655)
Tb (0.936, 0.686, 0.250)
In (0.036, 0.036, 0.413)
In (0.036, 0.623, 0.000)
In (0.128, 0.128, 0.257)
In (0.128, 0.872, 0.000)
In (0.377, 0.377, 0.413)
In (0.377, 0.964, 0.000)
In (0.623, 0.036, 0.000)
In (0.623, 0.623, 0.587)
In (0.872, 0.128, 0.000)
In (0.872, 0.872, 0.743)
In (0.964, 0.377, 0.000)
In (0.964, 0.964, 0.587)
Ge (0.153, 0.500, 0.653)
Ge (0.250, 0.750, 0.500)
Ge (0.382, 0.382, 0.000)
Ge (0.500, 0.153, 0.653)
Ge (0.500, 0.847, 0.347)
Ge (0.618, 0.618, 0.000)
Ge (0.750, 0.250, 0.500)
Ge (0.847, 0.500, 0.347)

A crystal of InGe2Te relaxed with PBEsol. Source: Alexandria via LeMat-Bulk, functional meta-GGA SCAN.

Calculated values
Volume   358 Å³/cell
Final energy   -26.8596 eV/atom
Symmetry   Fm-3m
Raw formation energy   33 kJ per mole of atoms

a b c (Å): 7.103 7.103 7.103
angles (deg): 90.00 90.00 90.00
Element x y z (fractional)
In (0.000, 0.000, 0.000)
In (0.000, 0.500, 0.500)
In (0.500, 0.000, 0.500)
In (0.500, 0.500, 0.000)
Ge (0.250, 0.250, 0.250)
Ge (0.250, 0.250, 0.750)
Ge (0.250, 0.750, 0.250)
Ge (0.250, 0.750, 0.750)
Ge (0.750, 0.250, 0.250)
Ge (0.750, 0.250, 0.750)
Ge (0.750, 0.750, 0.250)
Ge (0.750, 0.750, 0.750)
Te (0.000, 0.000, 0.500)
Te (0.000, 0.500, 0.000)
Te (0.500, 0.000, 0.000)
Te (0.500, 0.500, 0.500)

A crystal of In2GeTe relaxed with PBEsol. Source: Alexandria via LeMat-Bulk, functional meta-GGA SCAN.

Calculated values
Volume   515 Å³/cell
Final energy   -30.9522 eV/atom
Symmetry   I-42d
Raw formation energy   -17 kJ per mole of atoms

a b c (Å): 6.352 6.352 12.756
angles (deg): 90.00 90.00 90.00
Element x y z (fractional)
In (0.207, 0.250, 0.125)
In (0.250, 0.707, 0.375)
In (0.250, 0.793, 0.875)
In (0.293, 0.250, 0.625)
In (0.707, 0.750, 0.625)
In (0.750, 0.207, 0.875)
In (0.750, 0.293, 0.375)
In (0.793, 0.750, 0.125)
Ge (0.000, 0.000, 0.000)
Ge (0.000, 0.500, 0.250)
Ge (0.500, 0.000, 0.750)
Ge (0.500, 0.500, 0.500)
Te (0.000, 0.000, 0.500)
Te (0.000, 0.500, 0.750)
Te (0.500, 0.000, 0.250)
Te (0.500, 0.500, 0.000)

A crystal of Tl2In2Ge relaxed with PBEsol. Source: Alexandria via LeMat-Bulk, functional meta-GGA SCAN.

Calculated values
Volume   274 Å³/cell
E_form   0.312 eV per atom
Final energy   -45.8031 eV/atom
Symmetry   I4/mmm

a b c (Å): 4.034 4.034 16.866
angles (deg): 90.00 90.00 90.00
Element x y z (fractional)
Tl (0.000, 0.000, 0.092)
Tl (0.000, 0.000, 0.908)
Tl (0.500, 0.500, 0.408)
Tl (0.500, 0.500, 0.592)
In (0.000, 0.500, 0.250)
In (0.000, 0.500, 0.750)
In (0.500, 0.000, 0.250)
In (0.500, 0.000, 0.750)
Ge (0.000, 0.000, 0.500)
Ge (0.500, 0.500, 0.000)

A crystal of Y3InGe relaxed with PBEsol. Source: Alexandria via LeMat-Bulk, functional meta-GGA SCAN.

Calculated values
Volume   152 Å³/cell
E_form   -0.482 eV per atom
Final energy   -27.6827 eV/atom
Symmetry   Pm-3m

a b c (Å): 5.331 5.331 5.331
angles (deg): 90.00 90.00 90.00
Element x y z (fractional)
Y (0.000, 0.000, 0.500)
Y (0.000, 0.500, 0.000)
Y (0.500, 0.000, 0.000)
In (0.500, 0.500, 0.500)
Ge (0.000, 0.000, 0.000)

A crystal of Y2InGe2 relaxed with PBEsol. Source: Alexandria via LeMat-Bulk, functional meta-GGA SCAN.

Calculated values
Volume   220 Å³/cell
E_form   -0.840 eV per atom
Final energy   -26.2894 eV/atom
Symmetry   P4/mbm

a b c (Å): 7.285 7.285 4.153
angles (deg): 90.00 90.00 90.00
Element x y z (fractional)
Y (0.178, 0.322, 0.000)
Y (0.322, 0.822, 0.000)
Y (0.678, 0.178, 0.000)
Y (0.822, 0.678, 0.000)
In (0.000, 0.000, 0.500)
In (0.500, 0.500, 0.500)
Ge (0.122, 0.622, 0.500)
Ge (0.378, 0.122, 0.500)
Ge (0.622, 0.878, 0.500)
Ge (0.878, 0.378, 0.500)

A crystal of ZnInGe3 relaxed with PBEsol. Source: Alexandria via LeMat-Bulk, functional meta-GGA SCAN.

Calculated values
Volume   137 Å³/cell
E_form   1.113 eV per atom
Final energy   -19.7204 eV/atom
Symmetry   Pm-3m

a b c (Å): 5.158 5.158 5.158
angles (deg): 90.00 90.00 90.00
Element x y z (fractional)
Zn (0.000, 0.000, 0.000)
In (0.500, 0.500, 0.500)
Ge (0.000, 0.500, 0.500)
Ge (0.500, 0.000, 0.500)
Ge (0.500, 0.500, 0.000)